The following is a DFT calculation (PBE) of a geometry-optimized Rb2ZrH2S4 structure.

Summary:
DFT total energy: -4.62 eV/atom

abc: 17.3141 3.4674 7.2974
angles: 90.00 113.02 90.00
Last column: nearest neighbours and their distance in Å.
Space group C2/m (No. 12)
Unique sites:
Rb (0.1414, 0.0000, 0.1279) x4  1 H 2.96
Zr (0.0000, 0.0000, 0.5000) x2  6 S 2.52-2.70
H (0.1764, 0.5000, 0.6253) x4  2 S 1.77
S (0.0005, 0.5000, 0.2506) x4  2 Zr 2.52
S (0.1694, 0.0000, 0.6627) x4  2 H 1.77